Model A:
DFT (PBE) results for AsRh2C after structural relaxation.

Structure (CIF):
```
data_AsRh2C
_symmetry_space_group_name_H-M 'P 1'
_symmetry_Int_Tables_number 1
_cell_length_a 4.995
_cell_length_b 4.995
_cell_length_c 10.177
_cell_angle_alpha 90.00
_cell_angle_beta 90.00
_cell_angle_gamma 90.00
loop_
_symmetry_equiv_pos_as_xyz
'x,y,z'
loop_
_atom_site_label
_atom_site_fract_x
_atom_site_fract_y
_atom_site_fract_z
_atom_site_occupancy
As1 0.000 0.000 0.000 1
As2 0.000 0.500 0.250 1
As3 0.500 0.000 0.750 1
As4 0.500 0.500 0.500 1
Rh1 0.170 0.250 0.625 1
Rh2 0.250 0.670 0.875 1
Rh3 0.250 0.830 0.375 1
Rh4 0.330 0.250 0.125 1
Rh5 0.670 0.750 0.125 1
Rh6 0.750 0.170 0.375 1
Rh7 0.750 0.330 0.875 1
Rh8 0.830 0.750 0.625 1
C1 0.000 0.000 0.500 1
C2 0.000 0.500 0.750 1
C3 0.500 0.000 0.250 1
C4 0.500 0.500 0.000 1
```

Summary:
DOS at the Fermi energy in states/eV per atom: 0.426
Total magnetization in Bohr magnetons per cell: 0.00
Volume in A^3/atom: 15.87
Symmetry: I-42d

=====

Model B:
DFT (PBE) results for AsRh2C after structural relaxation.

Structure (CIF):
```
data_AsRh2C
_symmetry_space_group_name_H-M 'P 1'
_symmetry_Int_Tables_number 1
_cell_length_a 5.890
_cell_length_b 5.890
_cell_length_c 5.890
_cell_angle_alpha 90.00
_cell_angle_beta 90.00
_cell_angle_gamma 90.00
loop_
_symmetry_equiv_pos_as_xyz
'x,y,z'
loop_
_atom_site_label
_atom_site_fract_x
_atom_site_fract_y
_atom_site_fract_z
_atom_site_occupancy
As1 0.000 0.000 0.000 1
As2 0.000 0.500 0.500 1
As3 0.500 0.000 0.500 1
As4 0.500 0.500 0.000 1
Rh1 0.250 0.250 0.250 1
Rh2 0.250 0.250 0.750 1
Rh3 0.250 0.750 0.250 1
Rh4 0.250 0.750 0.750 1
Rh5 0.750 0.250 0.250 1
Rh6 0.750 0.250 0.750 1
Rh7 0.750 0.750 0.250 1
Rh8 0.750 0.750 0.750 1
C1 0.000 0.000 0.500 1
C2 0.000 0.500 0.000 1
C3 0.500 0.000 0.000 1
C4 0.500 0.500 0.500 1
```

Summary:
DOS at the Fermi energy in states/eV per atom: 1.016
Total magnetization in Bohr magnetons per cell: 2.26
Volume in A^3/atom: 12.77
Symmetry: Fm-3m

=====

model A ends up most stable, edging out the next structure by 713 meV per atom.

=====

Model A:
DFT (PBE) results for AsRhCSe2 after structural relaxation.

Structure (CIF):
```
data_AsRhCSe2
_symmetry_space_group_name_H-M 'P 1'
_symmetry_Int_Tables_number 1
_cell_length_a 5.014
_cell_length_b 5.014
_cell_length_c 4.590
_cell_angle_alpha 90.00
_cell_angle_beta 90.00
_cell_angle_gamma 90.00
loop_
_symmetry_equiv_pos_as_xyz
'x,y,z'
loop_
_atom_site_label
_atom_site_fract_x
_atom_site_fract_y
_atom_site_fract_z
_atom_site_occupancy
As1 0.000 0.000 0.000 1
Rh1 0.000 0.000 0.500 1
C1 0.500 0.500 0.000 1
Se1 0.000 0.500 0.500 1
Se2 0.500 0.000 0.500 1
```

Summary:
DOS at the Fermi energy in states/eV per atom: 0.993
Total magnetization in Bohr magnetons per cell: 0.02
Volume in A^3/atom: 23.08
Symmetry: P4/mmm

=====

Model B:
DFT (PBE) results for AsRhCSe2 after structural relaxation.

Structure (CIF):
```
data_AsRhCSe2
_symmetry_space_group_name_H-M 'P 1'
_symmetry_Int_Tables_number 1
_cell_length_a 4.352
_cell_length_b 4.352
_cell_length_c 4.202
_cell_angle_alpha 90.00
_cell_angle_beta 90.00
_cell_angle_gamma 90.00
loop_
_symmetry_equiv_pos_as_xyz
'x,y,z'
loop_
_atom_site_label
_atom_site_fract_x
_atom_site_fract_y
_atom_site_fract_z
_atom_site_occupancy
As1 0.000 0.000 0.000 1
Rh1 0.500 0.500 0.000 1
C1 0.000 0.000 0.500 1
Se1 0.000 0.500 0.500 1
Se2 0.500 0.000 0.500 1
```

Summary:
DOS at the Fermi energy in states/eV per atom: 0.482
Total magnetization in Bohr magnetons per cell: 0.00
Volume in A^3/atom: 15.92
Symmetry: P4/mmm

=====

model B ends up most stable, edging out the next structure by 604 meV per atom.

=====

Model A:
DFT (PBE) results for As2RhCSe after structural relaxation.

Structure (CIF):
```
data_As2RhCSe
_symmetry_space_group_name_H-M 'P 1'
_symmetry_Int_Tables_number 1
_cell_length_a 4.664
_cell_length_b 4.664
_cell_length_c 5.203
_cell_angle_alpha 90.00
_cell_angle_beta 90.00
_cell_angle_gamma 90.00
loop_
_symmetry_equiv_pos_as_xyz
'x,y,z'
loop_
_atom_site_label
_atom_site_fract_x
_atom_site_fract_y
_atom_site_fract_z
_atom_site_occupancy
As1 0.000 0.500 0.000 1
As2 0.500 0.000 0.000 1
Rh1 0.000 0.000 0.000 1
C1 0.500 0.500 0.500 1
Se1 0.000 0.000 0.500 1
```

Summary:
DOS at the Fermi energy in states/eV per atom: 0.906
Total magnetization in Bohr magnetons per cell: 0.66
Volume in A^3/atom: 22.63
Symmetry: P4/mmm

=====

Model B:
DFT (PBE) results for As2RhCSe after structural relaxation.

Structure (CIF):
```
data_As2RhCSe
_symmetry_space_group_name_H-M 'P 1'
_symmetry_Int_Tables_number 1
_cell_length_a 4.222
_cell_length_b 4.222
_cell_length_c 4.381
_cell_angle_alpha 90.00
_cell_angle_beta 90.00
_cell_angle_gamma 90.00
loop_
_symmetry_equiv_pos_as_xyz
'x,y,z'
loop_
_atom_site_label
_atom_site_fract_x
_atom_site_fract_y
_atom_site_fract_z
_atom_site_occupancy
As1 0.000 0.500 0.000 1
As2 0.500 0.000 0.000 1
Rh1 0.000 0.000 0.500 1
C1 0.500 0.500 0.000 1
Se1 0.500 0.500 0.500 1
```

Summary:
DOS at the Fermi energy in states/eV per atom: 0.635
Total magnetization in Bohr magnetons per cell: 0.00
Volume in A^3/atom: 15.62
Symmetry: P4/mmm

=====

model B ends up most stable, edging out the next structure by 694 meV per atom.

=====

Model A:
DFT (PBE) results for As2RuCSe after structural relaxation.

Structure (CIF):
```
data_As2RuCSe
_symmetry_space_group_name_H-M 'P 1'
_symmetry_Int_Tables_number 1
_cell_length_a 4.633
_cell_length_b 4.633
_cell_length_c 5.239
_cell_angle_alpha 90.00
_cell_angle_beta 90.00
_cell_angle_gamma 90.00
loop_
_symmetry_equiv_pos_as_xyz
'x,y,z'
loop_
_atom_site_label
_atom_site_fract_x
_atom_site_fract_y
_atom_site_fract_z
_atom_site_occupancy
As1 0.000 0.500 0.000 1
As2 0.500 0.000 0.000 1
Ru1 0.000 0.000 0.000 1
C1 0.500 0.500 0.500 1
Se1 0.000 0.000 0.500 1
```

Summary:
DOS at the Fermi energy in states/eV per atom: 0.690
Total magnetization in Bohr magnetons per cell: 0.32
Volume in A^3/atom: 22.50
Symmetry: P4/mmm

=====

Model B:
DFT (PBE) results for As2RuCSe after structural relaxation.

Structure (CIF):
```
data_As2RuCSe
_symmetry_space_group_name_H-M 'P 1'
_symmetry_Int_Tables_number 1
_cell_length_a 4.201
_cell_length_b 4.201
_cell_length_c 4.300
_cell_angle_alpha 90.00
_cell_angle_beta 90.00
_cell_angle_gamma 90.00
loop_
_symmetry_equiv_pos_as_xyz
'x,y,z'
loop_
_atom_site_label
_atom_site_fract_x
_atom_site_fract_y
_atom_site_fract_z
_atom_site_occupancy
As1 0.000 0.500 0.000 1
As2 0.500 0.000 0.000 1
Ru1 0.000 0.000 0.500 1
C1 0.500 0.500 0.000 1
Se1 0.500 0.500 0.500 1
```

Summary:
DOS at the Fermi energy in states/eV per atom: 0.573
Total magnetization in Bohr magnetons per cell: 0.00
Volume in A^3/atom: 15.18
Symmetry: P4/mmm

=====

model B ends up most stable, edging out the next structure by 550 meV per atom.

=====

Model A:
DFT (PBE) results for As3CS after structural relaxation.

Structure (CIF):
```
data_As3CS
_symmetry_space_group_name_H-M 'P 1'
_symmetry_Int_Tables_number 1
_cell_length_a 4.733
_cell_length_b 4.733
_cell_length_c 4.733
_cell_angle_alpha 90.00
_cell_angle_beta 90.00
_cell_angle_gamma 90.00
loop_
_symmetry_equiv_pos_as_xyz
'x,y,z'
loop_
_atom_site_label
_atom_site_fract_x
_atom_site_fract_y
_atom_site_fract_z
_atom_site_occupancy
As1 0.000 0.000 0.500 1
As2 0.000 0.500 0.000 1
As3 0.500 0.000 0.000 1
C1 0.500 0.500 0.500 1
S1 0.000 0.000 0.000 1
```

Summary:
DOS at the Fermi energy in states/eV per atom: 0.766
Total magnetization in Bohr magnetons per cell: 0.00
Volume in A^3/atom: 21.20
Symmetry: Pm-3m

=====

Model B:
DFT (PBE) results for As3CS after structural relaxation.

Structure (CIF):
```
data_As3CS
_symmetry_space_group_name_H-M 'P 1'
_symmetry_Int_Tables_number 1
_cell_length_a 4.392
_cell_length_b 4.392
_cell_length_c 4.392
_cell_angle_alpha 90.00
_cell_angle_beta 90.00
_cell_angle_gamma 90.00
loop_
_symmetry_equiv_pos_as_xyz
'x,y,z'
loop_
_atom_site_label
_atom_site_fract_x
_atom_site_fract_y
_atom_site_fract_z
_atom_site_occupancy
As1 0.000 0.000 0.500 1
As2 0.000 0.500 0.000 1
As3 0.500 0.000 0.000 1
C1 0.000 0.000 0.000 1
S1 0.500 0.500 0.500 1
```

Summary:
DOS at the Fermi energy in states/eV per atom: 0.581
Total magnetization in Bohr magnetons per cell: 0.00
Volume in A^3/atom: 16.94
Symmetry: Pm-3m

=====

model B ends up most stable, edging out the next structure by 809 meV per atom.

=====

Model A:
DFT (PBE) results for AsC3S after structural relaxation.

Structure (CIF):
```
data_AsC3S
_symmetry_space_group_name_H-M 'P 1'
_symmetry_Int_Tables_number 1
_cell_length_a 3.653
_cell_length_b 3.653
_cell_length_c 3.653
_cell_angle_alpha 90.00
_cell_angle_beta 90.00
_cell_angle_gamma 90.00
loop_
_symmetry_equiv_pos_as_xyz
'x,y,z'
loop_
_atom_site_label
_atom_site_fract_x
_atom_site_fract_y
_atom_site_fract_z
_atom_site_occupancy
As1 0.000 0.000 0.000 1
C1 0.000 0.500 0.500 1
C2 0.500 0.000 0.500 1
C3 0.500 0.500 0.000 1
S1 0.500 0.500 0.500 1
```

Summary:
DOS at the Fermi energy in states/eV per atom: 0.392
Total magnetization in Bohr magnetons per cell: 0.00
Volume in A^3/atom: 9.75
Symmetry: Pm-3m

=====

Model B:
DFT (PBE) results for AsC3S after structural relaxation.

Structure (CIF):
```
data_AsC3S
_symmetry_space_group_name_H-M 'P 1'
_symmetry_Int_Tables_number 1
_cell_length_a 3.927
_cell_length_b 3.927
_cell_length_c 3.927
_cell_angle_alpha 90.00
_cell_angle_beta 90.00
_cell_angle_gamma 90.00
loop_
_symmetry_equiv_pos_as_xyz
'x,y,z'
loop_
_atom_site_label
_atom_site_fract_x
_atom_site_fract_y
_atom_site_fract_z
_atom_site_occupancy
As1 0.000 0.000 0.000 1
C1 0.000 0.000 0.500 1
C2 0.000 0.500 0.000 1
C3 0.500 0.000 0.000 1
S1 0.500 0.500 0.500 1
```

Summary:
DOS at the Fermi energy in states/eV per atom: 0.751
Total magnetization in Bohr magnetons per cell: 0.00
Volume in A^3/atom: 12.11
Symmetry: Pm-3m

=====

model A ends up most stable, edging out the next structure by 333 meV per atom.